Material: UTl3I8
Method: DFT, PBE
State: relaxed

abc: 8.0441 8.0441 8.0441
angles: 90.00 90.00 90.00
Last column: magnetic moment on the atom in μB.
Element x y z (fractional)
Tl  0.0000  0.5000  0.5000  -0.01
I  0.2288  0.2288  0.2288  -0.05
I  0.7712  0.7712  0.2288  -0.05
I  0.2288  0.7712  0.2288  -0.05
I  0.2288  0.7712  0.7712  -0.05
Tl  0.5000  0.5000  0.0000  -0.01
I  0.7712  0.2288  0.2288  -0.05
I  0.7712  0.2288  0.7712  -0.05
I  0.7712  0.7712  0.7712  -0.05
U  0.0000  0.0000  0.0000  1.80
I  0.2288  0.2288  0.7712  -0.05
Tl  0.5000  0.0000  0.5000  -0.01

Spin magnetization = 1.23 μB/f.u.
Mass density = 5.95 g cm⁻³
Electronic total energy = -3.14 eV/atom